The following is a PBE calculation of a relaxed structure of MnCd2Au6, from the Alexandria database.

Computed properties:
The value obtained for the energy above the most stable polymorph in this dataset is 0.65 eV per formula unit. Its formation energy is -24 meV/atom.

```
9
Lattice="-0.271 2.940 -3.883 -6.828 3.085 2.812 5.808 0.026 2.688" Properties=species:S:1:pos:R:3 pbc="T T T"
Cd -2.785 4.042 0.192
Au -5.770 4.016 0.378
Mn 0.000 0.000 0.000
Au -3.977 3.117 2.639
Cd 1.494 2.009 1.424
Au 2.687 2.934 -1.023
Au -1.382 1.945 1.571
Au 0.091 4.106 0.046
Au -1.330 2.010 -1.450
```

---

The following is a PBE calculation of a relaxed structure of In2GaHgBi, from the Alexandria database.

Computed properties:
Its formation energy is 56 meV/atom.

```
10
Lattice="-1.817 -2.819 -2.593 3.828 -1.445 -1.111 -0.526 -10.218 11.474" Properties=species:S:1:pos:R:3 pbc="T T T"
In -1.048 -4.116 1.742
In 1.527 -8.234 7.879
Bi -1.251 -8.068 6.181
Bi 1.731 -4.281 3.440
Hg -0.941 -2.038 -0.590
Ga -0.263 -5.109 5.737
Hg 1.421 -10.311 10.212
In -1.363 -10.241 8.621
In 1.843 -2.108 1.001
Ga 0.742 -7.241 3.885
```

---

The following is a PBE calculation of a relaxed structure of Li3InB2O6, from the Alexandria database.

Computed properties:
Its formation energy (no corrections) is -2.18 eV per atom.

```
48
Lattice="9.054 0.000 0.000 0.000 5.248 0.007 0.000 5.059 10.284" Properties=species:S:1:pos:R:3 pbc="T T T"
O 2.738 4.009 6.831
B 2.960 4.308 3.919
O 1.789 1.479 1.689
B 1.544 3.375 6.490
Li 3.079 6.007 6.367
Li 1.448 3.478 1.225
O 8.672 6.194 3.706
Li 4.420 3.433 6.091
O 4.987 6.816 6.362
O 6.039 5.552 9.346
O 6.212 3.945 1.579
O 4.908 8.723 8.848
O 2.842 6.361 8.711
O 4.146 1.583 1.442
O 0.381 4.113 6.584
B 7.510 6.932 3.800
Li 4.742 6.874 8.468
O 5.952 4.649 6.036
O 7.265 8.827 8.601
Li 0.106 0.903 0.950
Li 5.975 4.299 3.924
O 6.316 6.297 3.459
O 7.369 6.474 6.721
O 1.425 8.187 9.396
B 6.094 5.998 6.372
Li 7.606 6.828 9.066
In 3.004 9.521 9.029
O 7.541 3.023 4.204
Li 0.216 5.962 6.964
Li 8.947 9.403 9.341
Li 4.311 3.433 1.822
O 1.685 3.832 3.569
B 7.487 3.469 1.230
O 7.629 2.119 0.894
O 8.593 4.287 1.220
In 6.050 0.785 1.262
Li 8.838 4.344 3.326
B 1.567 6.837 9.061
In 7.530 3.314 6.404
B 6.071 9.461 8.942
O 3.102 5.657 4.254
B 2.983 0.845 1.348
O 1.512 7.283 6.086
O 4.066 3.490 3.929
In 1.523 6.992 3.887
O 0.461 6.019 9.070
O 3.015 4.754 0.944
Li 4.633 6.873 4.199
```

---

The following is a PBE calculation of a relaxed structure of CdPd3Pb, from the Alexandria database.

Computed properties:
The value obtained for the energy above the most stable polymorph in this dataset is 3.90 eV per formula unit. Its formation energy is 543 meV/atom.

```
5
Lattice="4.980 0.000 0.000 0.000 4.980 0.000 0.000 0.000 4.980" Properties=species:S:1:pos:R:3 pbc="T T T"
Pb 2.490 2.490 2.490
Pd 2.490 0.000 0.000
Pd 0.000 2.490 0.000
Cd 0.000 0.000 0.000
Pd 0.000 0.000 2.490
```

---

The following is a PBE calculation of a relaxed structure of TaTlCd, from the Alexandria database.

Computed properties:
The value obtained for the energy above the most stable polymorph in this dataset is 0.02 eV per formula unit. Its formation energy is 469 meV/atom.

```
3
Lattice="7.629 0.029 0.000 6.443 4.086 0.000 -7.036 -2.058 2.114" Properties=species:S:1:pos:R:3 pbc="T T T"
Tl 9.494 2.777 0.000
Cd 13.893 4.063 0.000
Ta 4.757 1.391 0.000
```

---

The following is a PBE calculation of a relaxed structure of VHIr2, from the Alexandria database.

Computed properties:
The value obtained for the energy above the most stable polymorph in this dataset is 0.69 eV per formula unit.

```
4
Lattice="-3.684 0.914 1.532 -1.750 3.593 -0.884 -3.265 0.135 -2.465" Properties=species:S:1:pos:R:3 pbc="T T T"
H 0.000 0.000 0.000
Ir -2.175 1.160 -0.454
Ir -6.524 3.481 -1.362
V -4.349 2.321 -0.908
```

---

The following is a PBE calculation of a relaxed structure of CePrPu2S4, from the Alexandria database.

Computed properties:
Its formation energy (no corrections) is -1.91 eV per atom.

```
8
Lattice="4.001 0.000 0.000 0.000 6.953 -0.150 0.000 2.437 6.504" Properties=species:S:1:pos:R:3 pbc="T T T"
Pu 0.000 2.437 6.504
Ce 2.001 5.914 6.429
S 4.001 2.278 1.595
S 2.001 3.501 4.888
S 2.001 5.889 1.467
S 0.000 7.113 4.760
Pu 2.001 1.219 3.252
Pr 0.000 4.695 3.177
```

---

The following is a PBE calculation of a relaxed structure of CaPmCd2Au4, from the Alexandria database.

Computed properties:
Its formation energy is -609 meV/atom.

```
8
Lattice="4.996 0.000 0.000 2.498 4.326 0.000 2.498 1.442 8.161" Properties=species:S:1:pos:R:3 pbc="T T T"
Cd 7.493 4.326 6.146
Cd 2.498 1.442 2.015
Au 4.996 2.884 7.142
Pm 4.996 2.884 4.080
Ca 0.000 0.000 0.000
Au 4.996 2.884 1.019
Au 2.498 1.442 5.137
Au 7.493 4.326 3.024
```

---

Listing final energy for the structures above in their given order: -30.88 -12.41 -77.74 -17.49 -13.73 -29.62 -71.17 -26.56 eV per formula unit.
Listing calculated density for the structures above in their given order: 14.3 8.5 3.4 8.6 12.6 14.9 8.2 11.3 Mg/m³.